1.
Computed, not measured: a relaxed structure of MoPt2Br2 at the PBE level of DFT.

The structure in extended XYZ format:
```
5
Lattice="-1.0429 3.5165 -0.3295 -1.6895 -0.1950 3.2664 5.6370 4.0907 5.2358" Properties=species:S:1:pos:R:3 pbc="T T T"
Mo 0.0000 0.0000 0.0000
Br 1.6140 4.6340 3.1874
Br 1.2907 2.7783 4.9853
Pt -0.2895 2.0344 2.0476
Pt 3.1942 5.3779 6.1251
```

The energy above the most stable polymorph in this dataset comes out at 0.403 eV per atom. For the density of states at the Fermi level, the calculation gives 4.472 states/eV/f.u. The calculation puts the formation energy from raw total energies at 1.0320 eV per atom.

2.
Computed, not measured: a relaxed structure of LiIr2Ru at the PBE level of DFT.

The structure in extended XYZ format:
```
4
Lattice="-2.6024 0.6682 -0.0168 0.7105 -2.4801 -0.7507 -0.7868 -2.8468 8.6597" Properties=species:S:1:pos:R:3 pbc="T T T"
Ir -0.7849 -2.8398 8.6385
Ir -1.1459 -1.6296 1.8175
Li -0.3909 -1.4143 4.3021
Ru -1.5372 -3.0452 6.1237
```

The energy above the most stable polymorph in this dataset comes out at 0.271 eV per atom. The formation energy from the elements comes out at 0.25 eV/atom. For the density of states at the Fermi level, the calculation gives 5.746 states/eV/f.u.

3.
Computed, not measured: a relaxed structure of Pr3AgPd at the PBE level of DFT.

The structure in extended XYZ format:
```
20
Lattice="7.7816 0.0000 0.0000 0.0000 7.9517 -3.0378 0.0000 0.5399 9.3500" Properties=species:S:1:pos:R:3 pbc="T T T"
Pr 1.1986 5.3451 5.6580
Pr 6.5830 3.1465 0.6542
Pr 5.0894 7.1224 -0.8647
Pr 2.6922 1.3693 7.1769
Pr 5.2545 4.3601 6.5177
Pr 2.5271 4.1316 -0.2055
Pr 1.3637 0.1557 1.3134
Pr 6.4179 8.3359 4.9988
Pr 0.0366 2.0185 4.6888
Pr 7.7450 6.4731 1.6235
Pr 3.9274 2.4973 3.1423
Pr 3.8542 5.9944 3.1699
Ag 6.4630 4.5798 3.6552
Ag 1.3186 3.9118 2.6570
Ag 2.5722 7.8877 1.1381
Ag 5.2094 0.6039 5.1741
Pd 0.2927 3.0687 7.5630
Pd 7.4889 5.4229 -1.2508
Pd 4.1835 1.4470 0.2681
Pd 3.5981 7.0446 6.0441
```

The energy above the most stable polymorph in this dataset comes out at 0.000 eV per atom. The formation energy from the elements comes out at -0.34 eV/atom. For the density of states at the Fermi level, the calculation gives 5.810 states/eV/f.u.

4.
Computed, not measured: a relaxed structure of Ca2AlSnO6 at the PBE level of DFT.

The structure in extended XYZ format:
```
10
Lattice="5.0563 0.0000 0.0000 0.0000 5.1280 0.0000 0.0000 0.0000 5.1280" Properties=species:S:1:pos:R:3 pbc="T T T"
Ca 0.1721 2.5640 0.0000
Ca 0.1721 0.0000 2.5640
Al 2.9044 0.0000 0.0000
Sn 2.8692 2.5640 2.5640
O 3.5861 1.2266 1.2266
O 3.5861 1.2266 3.9015
O 0.8907 2.5640 2.5640
O 1.1314 0.0000 0.0000
O 3.5861 3.9015 3.9015
O 3.5861 3.9015 1.2266
```

For the density of states at the Fermi level, the calculation gives 6.006 states/eV/f.u. The calculation puts the formation energy from raw total energies at -2.3084 eV per atom.

5.
Computed, not measured: a relaxed structure of AcPuPt at the PBE level of DFT.

The structure in extended XYZ format:
```
3
Lattice="-1.3906 -2.5376 3.1093 2.1762 -1.6339 -3.2612 5.4571 0.9118 3.1847" Properties=species:S:1:pos:R:3 pbc="T T T"
Ac 0.3853 0.0644 0.2249
Pt 1.7006 -1.9185 2.0960
Pu 4.1568 -1.4055 0.7120
```

The energy above the most stable polymorph in this dataset comes out at 0.000 eV per atom. The formation energy from the elements comes out at -0.50 eV/atom. For the density of states at the Fermi level, the calculation gives 12.686 states/eV/f.u.

6.
Computed, not measured: a relaxed structure of Sr2Tl8In3 at the PBE level of DFT.

The structure in extended XYZ format:
```
13
Lattice="-0.7150 -3.9026 5.4906 0.5484 -7.0396 -4.9321 7.0955 4.2116 2.2981" Properties=species:S:1:pos:R:3 pbc="T T T"
Sr 2.8562 -0.8029 1.4636
Sr 4.0727 -5.9276 1.3931
Tl 1.0673 -6.9564 2.5272
Tl 5.8616 0.2258 0.3295
Tl 2.2766 -2.7774 4.2174
Tl 4.6523 -3.9531 -1.3607
Tl 5.5439 -2.9644 2.1135
Tl 5.3445 -0.4051 3.9066
Tl 1.5844 -6.3254 -1.0500
Tl 1.3850 -3.7661 0.7432
In -0.3575 -1.9513 2.7453
In 0.0961 -1.2337 -0.8644
In 0.4523 -5.8059 -4.0677
```

The formation energy from the elements comes out at -0.08 eV/atom. For the density of states at the Fermi level, the calculation gives 5.859 states/eV/f.u.

7.
Computed, not measured: a relaxed structure of BaPrEu4 at the PBE level of DFT.

The structure in extended XYZ format:
```
6
Lattice="7.2611 0.0000 0.0000 3.6306 6.2883 0.0000 3.6306 2.0961 5.9287" Properties=species:S:1:pos:R:3 pbc="T T T"
Eu 7.2611 4.1922 0.7018
Eu 7.2611 2.0590 3.7185
Eu 9.1086 5.2588 3.7185
Eu 5.4137 5.2588 3.7185
Pr 0.0000 0.0000 0.0000
Ba 3.6306 2.0961 1.4822
```

The formation energy from the elements comes out at 0.18 eV/atom. For the density of states at the Fermi level, the calculation gives 8.152 states/eV/f.u.

8.
Computed, not measured: a relaxed structure of Na2Al2ZnPt5 at the PBE level of DFT.

The structure in extended XYZ format:
```
20
Lattice="-0.8232 1.6258 3.0591 -9.2482 -2.5810 -1.1169 1.7074 -8.2036 4.8192" Properties=species:S:1:pos:R:3 pbc="T T T"
Na -5.9226 -3.1476 0.0790
Na -1.6182 -7.6370 3.6232
Na -1.0328 -3.1336 1.3874
Na -6.5080 -7.6510 2.3149
Al -0.1255 -5.5023 2.8904
Al -7.4153 -5.2823 0.8119
Al -4.3394 -8.7639 3.4899
Al -3.2014 -2.0207 0.2124
Zn 0.0000 0.0000 0.0000
Zn -3.7704 -5.3923 1.8511
Pt -2.1565 -0.2429 1.6211
Pt -6.2075 -8.9160 5.1403
Pt 0.3470 -5.9128 5.3080
Pt -6.1507 -4.5600 2.8407
Pt -8.7110 -3.2461 1.4534
Pt -2.2133 -4.5988 3.9207
Pt -4.4452 -6.3956 4.2751
Pt -3.9188 -2.7632 2.4863
Pt -5.0357 -0.4776 0.9711
Pt 0.4421 -3.2889 3.9392
```

The formation energy from the elements comes out at -0.57 eV/atom. For the density of states at the Fermi level, the calculation gives 2.525 states/eV/f.u.

9.
Computed, not measured: a relaxed structure of AgSnGe at the PBE level of DFT.

The structure in extended XYZ format:
```
6
Lattice="3.9352 -0.0961 -0.2501 1.8826 3.4570 -0.2501 0.6776 0.3914 11.0856" Properties=species:S:1:pos:R:3 pbc="T T T"
Ge 1.2781 0.7383 1.1673
Ge 3.3085 1.9113 1.8628
Sn 3.4818 2.0114 4.5625
Sn 1.7874 1.0326 9.5533
Ag 1.5738 0.9092 6.2889
Ag 3.6959 2.1351 7.8275
```

The energy above the most stable polymorph in this dataset comes out at 0.000 eV per atom. The formation energy from the elements comes out at 0.16 eV/atom. For the density of states at the Fermi level, the calculation gives 0.602 states/eV/f.u.

10.
Computed, not measured: a relaxed structure of CaAcSbTe at the PBE level of DFT.

The structure in extended XYZ format:
```
4
Lattice="4.7156 0.0000 0.0000 2.3578 4.0838 0.0000 2.3578 1.3613 7.5613" Properties=species:S:1:pos:R:3 pbc="T T T"
Ca 7.0734 4.0838 1.1811
Ac 4.7156 2.7225 5.1546
Sb 7.0734 4.0838 7.0123
Te 2.3578 1.3613 3.0656
```

The energy above the most stable polymorph in this dataset comes out at 0.000 eV per atom. The calculation puts the formation energy from raw total energies at -1.3796 eV per atom.

11.
Computed, not measured: a relaxed structure of PmErPdRu at the PBE level of DFT.

The structure in extended XYZ format:
```
4
Lattice="3.4535 0.0000 0.0000 0.0000 3.4535 0.0000 0.0000 0.0000 7.0946" Properties=species:S:1:pos:R:3 pbc="T T T"
Pm 1.7268 1.7268 0.8537
Er 1.7268 1.7268 4.2486
Pd 0.0000 0.0000 5.9560
Ru 0.0000 0.0000 2.6197
```

The energy above the most stable polymorph in this dataset comes out at 0.000 eV per atom. The formation energy from the elements comes out at -0.62 eV/atom. For the density of states at the Fermi level, the calculation gives 2.173 states/eV/f.u.

12.
Computed, not measured: a relaxed structure of Er3Tm4Co2 at the PBE level of DFT.

The structure in extended XYZ format:
```
9
Lattice="3.4422 0.0000 -0.9491 -0.7475 8.3413 -2.7111 0.4069 -0.6182 8.1924" Properties=species:S:1:pos:R:3 pbc="T T T"
Er 0.1636 1.5107 0.5935
Er 2.9379 6.2124 3.9387
Er -0.3738 4.1706 -1.3556
Tm 0.4908 5.1117 1.7801
Tm 2.6107 2.6114 2.7521
Tm 1.6373 7.2948 -0.7785
Tm 1.4643 0.4284 5.3107
Co 1.2021 4.2285 4.3599
Co 1.8994 3.4946 0.1723
```

The formation energy from the elements comes out at -0.12 eV/atom. For the density of states at the Fermi level, the calculation gives 9.620 states/eV/f.u.